(1)
A plane-wave DFT calculation with PBE was carried out for a geometry-optimized ZrTlCu structure.

Spin magnetization: 0.32 μB/f.u.
Raw total energy: -4.829 eV per atom

Unit cell a=4.1153 b=4.1153 c=7.2568 alpha=90.00 beta=90.00 gamma=90.00
Last column: nearest neighbours and their distance in Å.
Sites, in units of the cell vectors:
1 Tl 0.0000 0.0000 0.5000  4 Cu 2.87, 4 Tl 2.91
2 Tl 0.5000 0.5000 0.5000  4 Cu 2.87, 4 Tl 2.91
3 Cu 0.0000 0.5000 0.7765  1 Zr 2.60, 4 Tl 2.87
4 Cu 0.5000 0.0000 0.2235  1 Zr 2.60, 4 Tl 2.87
5 Zr 0.0000 0.5000 0.1344  1 Cu 2.60
6 Zr 0.5000 0.0000 0.8656  1 Cu 2.60

(2)
A plane-wave DFT calculation with PBE was carried out for a geometry-optimized AlV2C structure.

Spin magnetization: 0.00 μB/f.u.
Raw total energy: -8.233 eV per atom

Unit cell a=2.9157 b=2.9175 c=6.8940 alpha=102.52 beta=90.00 gamma=119.98
Last column: nearest neighbours and their distance in Å.
Sites, in units of the cell vectors:
1 Al 0.5000 0.5000 0.0000  6 V 2.79-2.81, 6 Al 2.92
2 V 0.2768 0.0536 0.3345  3 C 2.01
3 V 0.7232 0.9464 0.6655  3 C 2.01
4 C 0.0000 0.5000 0.5000  6 V 2.01

(3)
A plane-wave DFT calculation with PBE was carried out for a geometry-optimized Ta6ReMo3 structure.

Spin magnetization: 0.00 μB/f.u.
Raw total energy: -11.821 eV per atom

Unit cell a=4.5778 b=7.9381 c=9.7181 alpha=105.60 beta=90.00 gamma=90.00
Last column: nearest neighbours and their distance in Å.
Sites, in units of the cell vectors:
1 Ta 0.2500 0.4552 0.1003  7 Mo 2.79-2.84, 1 Ta 2.84
2 Ta 0.7500 0.5448 0.8997  7 Mo 2.79-2.84, 1 Ta 2.84
3 Ta 0.2500 0.1507 0.2007  8 Ta 2.82-2.84
4 Ta 0.7500 0.8493 0.7993  8 Ta 2.82-2.84
5 Ta 0.2500 0.6455 0.6961  5 Mo 2.77-2.84, 1 Re 2.81, 2 Ta 2.83
6 Ta 0.7500 0.3545 0.3039  5 Mo 2.77-2.84, 1 Re 2.81, 2 Ta 2.83
7 Ta 0.2500 0.2479 0.5027  3 Re 2.78-2.80, 4 Mo 2.78-2.83, 1 Ta 2.83
8 Ta 0.7500 0.7521 0.4973  3 Re 2.78-2.80, 4 Mo 2.78-2.83, 1 Ta 2.83
9 Ta 0.2500 0.8482 0.3035  3 Re 2.77-2.81, 4 Mo 2.78-2.85, 1 Ta 2.84
10 Ta 0.7500 0.1518 0.6965  3 Re 2.77-2.81, 4 Mo 2.78-2.85, 1 Ta 2.84
11 Ta 0.2500 0.0540 0.8968  4 Mo 2.75-2.82, 1 Re 2.78, 3 Ta 2.82-2.84
12 Ta 0.7500 0.9460 0.1032  4 Mo 2.75-2.82, 1 Re 2.78, 3 Ta 2.82-2.84
13 Re 0.2500 0.9494 0.5999  8 Ta 2.77-2.81
14 Re 0.7500 0.0506 0.4001  8 Ta 2.77-2.81
15 Mo 0.2500 0.5484 0.3990  8 Ta 2.77-2.83
16 Mo 0.7500 0.4516 0.6010  8 Ta 2.77-2.83
17 Mo 0.2500 0.3496 0.8000  8 Ta 2.75-2.81
18 Mo 0.7500 0.6504 0.2000  8 Ta 2.75-2.81
19 Mo 0.2500 0.7533 0.9992  8 Ta 2.79-2.85
20 Mo 0.7500 0.2467 0.0008  8 Ta 2.79-2.85

(4)
A plane-wave DFT calculation with PBE was carried out for a geometry-optimized Ca2Pm5Tm4 structure.

Spin magnetization: 0.00 μB/f.u.
Raw total energy: -3.960 eV per atom

Unit cell a=9.3164 b=9.3164 c=10.8469 alpha=55.13 beta=142.80 gamma=137.59
Last column: nearest neighbours and their distance in Å.
Sites, in units of the cell vectors:
1 Ca 0.1461 0.2021 0.3482  4 Tm 3.41-3.76, 1 Pm 3.76
2 Ca 0.8539 0.7979 0.6518  4 Tm 3.41-3.76, 1 Pm 3.76
3 Pm 0.4547 0.1717 0.1050  4 Pm 3.23-3.52, 3 Tm 3.38-3.60
4 Pm 0.5453 0.8283 0.8950  4 Pm 3.23-3.52, 3 Tm 3.38-3.60
5 Pm 0.5000 0.0000 0.5000  4 Pm 3.37, 4 Tm 3.75, 2 Ca 3.76
6 Pm 0.9333 0.6503 0.1050  4 Pm 3.23-3.52, 3 Tm 3.38-3.60
7 Pm 0.0667 0.3497 0.8950  4 Pm 3.23-3.52, 3 Tm 3.38-3.60
8 Tm 0.1988 0.4212 0.6200  2 Tm 3.31-3.46, 4 Pm 3.60-3.64
9 Tm 0.8012 0.5788 0.3800  2 Tm 3.31-3.46, 4 Pm 3.60-3.64
10 Tm 0.3895 0.7445 0.1339  4 Pm 3.38-3.41, 4 Ca 3.41-3.76, 1 Tm 3.46
11 Tm 0.6105 0.2555 0.8661  4 Pm 3.38-3.41, 4 Ca 3.41-3.76, 1 Tm 3.46

(5)
A plane-wave DFT calculation with PBE was carried out for a geometry-optimized CaNiAu3 structure.

Spin magnetization: 1.08 μB/f.u.
Distance to the lowest polymorph of the same formula: 1186 meV per atom

Unit cell a=5.3661 b=5.3661 c=5.3661 alpha=90.00 beta=90.00 gamma=90.00
Last column: nearest neighbours and their distance in Å.
Sites, in units of the cell vectors:
1 Ni 0.5000 0.5000 0.5000  12 Au 3.79
2 Ca 0.0000 0.0000 0.0000  6 Au 2.68
3 Au 0.0000 0.5000 0.0000  2 Ca 2.68
4 Au 0.0000 0.0000 0.5000  2 Ca 2.68
5 Au 0.5000 0.0000 0.0000  2 Ca 2.68

(6)
A plane-wave DFT calculation with PBE was carried out for a geometry-optimized TlRu2 structure.

Spin magnetization: 0.00 μB/f.u.
Distance to the lowest polymorph of the same formula: 217 meV per atom

Unit cell a=4.3238 b=4.3238 c=6.5786 alpha=90.00 beta=90.00 gamma=120.00
Last column: nearest neighbours and their distance in Å.
Sites, in units of the cell vectors:
1 Tl 0.0000 0.0000 0.2500  6 Ru 2.83
2 Tl 0.0000 0.0000 0.7500  6 Ru 2.83
3 Ru 0.6667 0.3333 0.4523  4 Ru 2.57-2.66, 3 Tl 2.83
4 Ru 0.3333 0.6667 0.9523  4 Ru 2.57-2.66, 3 Tl 2.83
5 Ru 0.3333 0.6667 0.5477  4 Ru 2.57-2.66, 3 Tl 2.83
6 Ru 0.6667 0.3333 0.0477  4 Ru 2.57-2.66, 3 Tl 2.83